Record 1
HfMn2O4: relaxed, PBE with a Hubbard U.

Structure (POSCAR):
```
HfMn2O4
1.0
-2.094 -2.459 -0.786
1.239 0.594 -5.156
4.372 -2.844 4.277
Hf Mn O
1 2 4
Direct
0.000 0.000 0.000 Hf
0.651 0.743 0.301 Mn
0.349 0.257 0.699 Mn
0.843 0.007 0.686 O
0.157 0.993 0.314 O
0.555 0.294 0.111 O
0.445 0.706 0.889 O
```

* DOS at the Fermi energy: 0.00 states/eV/atom
* symmetry: C2/m
* final energy: -61.55 eV/f.u.


Record 2
HfMnO3: relaxed, PBE with a Hubbard U.

Structure (POSCAR):
```
HfMnO3
1.0
-4.113 0.806 -3.427
-3.643 -1.021 4.132
-0.044 7.691 1.862
Hf Mn O
4 4 12
Direct
0.000 0.500 0.000 Hf
0.000 0.500 0.500 Hf
0.500 0.000 0.000 Hf
0.500 0.000 0.500 Hf
0.493 0.456 0.750 Mn
0.507 0.544 0.250 Mn
0.007 0.956 0.750 Mn
0.993 0.044 0.250 Mn
0.122 0.438 0.250 O
0.378 0.938 0.250 O
0.622 0.062 0.750 O
0.878 0.562 0.750 O
0.180 0.185 0.565 O
0.180 0.185 0.935 O
0.320 0.685 0.565 O
0.320 0.685 0.935 O
0.680 0.315 0.065 O
0.680 0.315 0.435 O
0.820 0.815 0.065 O
0.820 0.815 0.435 O
```

* DOS at the Fermi energy: 0.00 states/eV/atom
* symmetry: Pnma
* final energy: -46.08 eV/f.u.


no.,total magnetic moment (μB per atom)
1,1.43
2,1.00